1.
Computed, not measured: a relaxed structure of ZnAgF2 at the PBE level of DFT.

Summary:
ρ (g cm⁻³): 6.441
Energy relative to the elements, uncorrected (eV per atom): -1.04
Energy relative to the lowest polymorph listed for this composition (meV per atom): 405

Lattice parameters (Å, degrees): 7.6346 7.6346 7.6346 21.94 21.94 21.94
Atoms (fractional coordinates):
F 0.9128 0.9128 0.9128
Ag 0.5000 0.5000 0.5000
Zn 0.0000 0.0000 0.0000
F 0.0872 0.0872 0.0872

2.
Computed, not measured: a relaxed structure of ZnAg2F6 at the PBE level of DFT.

Summary:
ρ (g cm⁻³): 4.734
Energy relative to the elements, uncorrected (eV per atom): -1.31
Energy relative to the lowest polymorph listed for this composition (meV per atom): 167

Lattice parameters (Å, degrees): 3.2777 5.6672 8.0201 80.14 78.21 73.19
Site moments in Bohr magnetons follow the coordinates.
Atoms (fractional coordinates):
F 0.3641 0.2692 0.0026  0.21
F 0.6359 0.7308 0.9974  0.21
Ag 0.1388 0.8822 0.8402  0.40
Ag 0.8612 0.1178 0.1598  0.40
F 0.9141 0.8178 0.3540  0.11
F 0.0859 0.1822 0.6460  0.11
Zn 0.0000 0.5000 0.5000  0.04
F 0.3717 0.6219 0.6348  0.05
F 0.6283 0.3781 0.3652  0.05

3.
Computed, not measured: a relaxed structure of ZnAg7F12 at the PBE level of DFT.

Summary:
ρ (g cm⁻³): 4.077
Energy relative to the elements, uncorrected (eV per atom): -1.24

Lattice parameters (Å, degrees): 5.9543 9.3138 9.3138 64.41 77.70 102.30
Atoms (fractional coordinates):
F 0.7444 0.0194 0.1740
Ag 0.2385 0.4171 0.6772
Ag 0.1786 0.0943 0.5829
Zn 0.0000 0.0000 0.0000
F 0.7250 0.8066 0.0194
F 0.4259 0.3549 0.4849
F 0.9289 0.8397 0.6451
F 0.0816 0.8260 0.1934
Ag 0.9157 0.6772 0.9057
F 0.9184 0.1740 0.8066
F 0.9108 0.4849 0.1603
F 0.2556 0.9806 0.8260
Ag 0.8214 0.9057 0.4171
Ag 0.5000 0.0000 0.0000
F 0.0892 0.5151 0.8397
F 0.5741 0.6451 0.5151
F 0.2750 0.1934 0.9806
Ag 0.7615 0.5829 0.3228
F 0.0711 0.1603 0.3549
Ag 0.0843 0.3228 0.0943

ρ of number 2 (ZnAg2F6)?
4.734 g cm⁻³

Please write out number 1 again, unchanged.
Computed, not measured: a relaxed structure of ZnAgF2 at the PBE level of DFT.

Summary:
ρ (g cm⁻³): 6.441
Energy relative to the elements, uncorrected (eV per atom): -1.04
Energy relative to the lowest polymorph listed for this composition (meV per atom): 405

Lattice parameters (Å, degrees): 7.6346 7.6346 7.6346 21.94 21.94 21.94
Atoms (fractional coordinates):
F 0.9128 0.9128 0.9128
Ag 0.5000 0.5000 0.5000
Zn 0.0000 0.0000 0.0000
F 0.0872 0.0872 0.0872

Repeat the first record exactly.
Computed, not measured: a relaxed structure of ZnAgF2 at the PBE level of DFT.

Summary:
ρ (g cm⁻³): 6.441
Energy relative to the elements, uncorrected (eV per atom): -1.04
Energy relative to the lowest polymorph listed for this composition (meV per atom): 405

Lattice parameters (Å, degrees): 7.6346 7.6346 7.6346 21.94 21.94 21.94
Atoms (fractional coordinates):
F 0.9128 0.9128 0.9128
Ag 0.5000 0.5000 0.5000
Zn 0.0000 0.0000 0.0000
F 0.0872 0.0872 0.0872